(1)
# K3Pd2Pb4, relaxed, DFT GGA-PBE
# Energy of formation = -0.173 eV/atom
# E = -3.341 eV per atom
# Density = 6.39 Mg/m³
data_K3Pd2Pb4
_cell_length_a 15.7272
_cell_length_b 10.9467
_cell_length_c 7.3433
_cell_angle_alpha 90.00
_cell_angle_beta 107.55
_cell_angle_gamma 90.00
_symmetry_space_group_name_H-M 'C 1 2/c 1'
_symmetry_Int_Tables_number 15
loop_
_symmetry_equiv_pos_as_xyz
'x,y,z'
'-x,-y,-z'
'-x,y,-z+1/2'
'x,-y,z+1/2'
'x+1/2,y+1/2,z'
'-x+1/2,-y+1/2,-z'
'-x+1/2,y+1/2,-z+1/2'
'x+1/2,-y+1/2,z+1/2'
loop_
_atom_site_label
_atom_site_fract_x
_atom_site_fract_y
_atom_site_fract_z
K1 0.0000 0.0517 0.2500
K2 0.1135 0.3905 0.1448
Pd1 0.2222 0.1338 0.4327
Pb1 0.1305 0.2572 0.6548
Pb2 0.1979 0.0979 0.0461

***

(2)
# BaSrOs2, relaxed, DFT GGA-PBE
# Energy of formation = 1.079 eV/atom
# E = -5.437 eV per atom
# Density = 8.81 Mg/m³
# Excess energy over the best structure of this formula in the dataset = 887.2 meV/atom
data_BaSrOs2
_cell_length_a 4.1229
_cell_length_b 4.1229
_cell_length_c 6.7096
_cell_angle_alpha 90.00
_cell_angle_beta 90.00
_cell_angle_gamma 90.00
_symmetry_space_group_name_H-M 'P 4/m m m'
_symmetry_Int_Tables_number 123
_symmetry_space_group_name_Hall '-P 4 2'
loop_
_atom_site_label
_atom_site_fract_x
_atom_site_fract_y
_atom_site_fract_z
Ba1 0.0000 0.0000 0.0000
Sr1 0.0000 0.0000 0.5000
Os1 0.5000 0.5000 0.3276

***

(3)
# Ba2MnBiTe5, relaxed, DFT GGA-PBE
# E = -4.492 eV per atom
# Density = 5.88 Mg/m³
data_Ba2MnBiTe5
_cell_length_a 4.6404
_cell_length_b 20.2596
_cell_length_c 14.1257
_cell_angle_alpha 90.00
_cell_angle_beta 90.00
_cell_angle_gamma 90.00
_symmetry_space_group_name_H-M 'C m c 21'
_symmetry_Int_Tables_number 36
loop_
_symmetry_equiv_pos_as_xyz
'x,y,z'
'-x,-y,z+1/2'
'-x,y,z'
'x,-y,z+1/2'
'x+1/2,y+1/2,z'
'-x+1/2,-y+1/2,z+1/2'
'-x+1/2,y+1/2,z'
'x+1/2,-y+1/2,z+1/2'
loop_
_atom_site_label
_atom_site_fract_x
_atom_site_fract_y
_atom_site_fract_z
Ba1 0.0000 0.1172 0.0000
Ba2 0.0000 0.1228 0.6418
Mn1 0.0000 0.4445 0.7248
Bi1 0.0000 0.2005 0.3400
Te1 0.0000 0.0272 0.3115
Te2 0.0000 0.2923 0.9890
Te3 0.0000 0.3153 0.6802
Te4 0.0000 0.3472 0.3216
Te5 0.0000 0.4944 0.0615

***

(4)
# Ba4Tl2Ga, relaxed, DFT GGA-PBE
# Energy of formation = -0.296 eV/atom
# E = -2.503 eV per atom
# Density = 5.63 Mg/m³
data_Ba4Tl2Ga
_cell_length_a 5.9893
_cell_length_b 5.9893
_cell_length_c 29.2689
_cell_angle_alpha 90.00
_cell_angle_beta 90.00
_cell_angle_gamma 120.00
_symmetry_space_group_name_H-M 'R -3 m'
_symmetry_Int_Tables_number 166
_symmetry_space_group_name_Hall '-R 3 2"'
loop_
_atom_site_label
_atom_site_fract_x
_atom_site_fract_y
_atom_site_fract_z
Ba1 0.0000 0.0000 0.1216
Ba2 0.0000 0.0000 0.3728
Tl1 0.0000 0.0000 0.2507
Ga1 0.0000 0.0000 0.0000

***

Question: The highest density belongs to which entry?
Answer: BaSrOs2

***

Question: Number 4 is which compound?
Answer: Ba4Tl2Ga

***

Question: What is the formula in the first record?
Answer: K3Pd2Pb4